No. 1
The following is a PBE calculation of a geometry-optimized PmSm2Dy5 structure, from Alexandria via LeMat-Bulk.

a = 9.916 Å, b = 6.497 Å, c = 10.907 Å
α = 119.38°, β = 117.04°, γ = 90.00°
Fractional positions:
Sm: 0.824 0.539 0.154
Sm: 0.669 0.961 0.846
Sm: 0.176 0.461 0.846
Sm: 0.331 0.039 0.154
Dy: 0.689 0.055 0.197
Dy: 0.492 0.445 0.803
Dy: 0.057 0.250 0.000
Dy: 0.107 0.372 0.394
Dy: 0.311 0.945 0.803
Dy: 0.714 0.128 0.606
Dy: 0.286 0.872 0.394
Dy: 0.508 0.555 0.197
Dy: 0.943 0.750 0.000
Dy: 0.893 0.628 0.606
Pm: 0.500 0.500 0.500
Pm: 0.000 0.000 0.500

Its crystal system is monoclinic. Its space-group type is No. 15. The energy relative to the elements comes out at 130 kJ/mol of formula units. For the energy relative to the lowest polymorph listed for this composition, the calculation gives 152 meV/atom.


No. 2
The following is a PBE calculation of a geometry-optimized Pm4Sm5Dy structure, from Alexandria via LeMat-Bulk.

a = 3.581 Å, b = 11.201 Å, c = 8.932 Å
α = 89.94°, β = 101.65°, γ = 89.95°
Fractional positions:
Sm: 0.173 0.556 0.348
Sm: 0.827 0.444 0.652
Sm: 0.826 0.054 0.654
Sm: 0.174 0.946 0.346
Sm: 0.500 0.500 0.000
Pm: 0.970 0.249 0.942
Pm: 0.654 0.250 0.306
Pm: 0.030 0.751 0.058
Pm: 0.346 0.750 0.694
Dy: 0.500 0.000 0.000

Its crystal system is triclinic. Its space-group type is No. 2. The energy relative to the elements comes out at 167 kJ/mol of formula units. For the energy relative to the lowest polymorph listed for this composition, the calculation gives 0 meV/atom.


No. 3
The following is a PBE calculation of a geometry-optimized Pm5Sm4Dy3 structure, from Alexandria via LeMat-Bulk.

a = 7.228 Å, b = 11.434 Å, c = 13.034 Å
α = 151.29°, β = 56.38°, γ = 129.25°
Fractional positions:
Dy: 0.000 0.000 0.500
Dy: 0.417 0.834 0.667
Dy: 0.583 0.166 0.333
Pm: 0.500 0.000 0.500
Pm: 0.250 0.502 0.001
Pm: 0.334 0.666 0.832
Pm: 0.666 0.334 0.168
Pm: 0.750 0.498 0.999
Sm: 0.084 0.168 0.334
Sm: 0.916 0.832 0.666
Sm: 0.834 0.668 0.834
Sm: 0.166 0.332 0.166

Its crystal system is triclinic. Its space-group type is No. 2. The energy relative to the elements comes out at 15 kJ/mol of formula units. For the energy relative to the lowest polymorph listed for this composition, the calculation gives 0 meV/atom.


No. 4
The following is a PBE calculation of a geometry-optimized PmSm2Dy6 structure, from Alexandria via LeMat-Bulk.

a = 3.496 Å, b = 9.788 Å, c = 9.788 Å
α = 63.68°, β = 79.77°, γ = 79.77°
Fractional positions:
Dy: 0.821 0.345 0.011
Dy: 0.821 0.011 0.345
Dy: 0.500 0.685 0.315
Dy: 0.179 0.989 0.655
Dy: 0.179 0.655 0.989
Dy: 0.500 0.315 0.685
Sm: 0.843 0.658 0.658
Sm: 0.157 0.342 0.342
Pm: 0.000 0.000 0.000

Its crystal system is monoclinic. Its space-group type is No. 12. The energy relative to the elements comes out at 91 kJ/mol of formula units. For the energy relative to the lowest polymorph listed for this composition, the calculation gives 0 meV/atom.


No. 5
The following is a PBE calculation of a geometry-optimized PmSmDy structure, from Alexandria via LeMat-Bulk.

a = 7.005 Å, b = 7.005 Å, c = 9.709 Å
α = 90.00°, β = 90.00°, γ = 121.30°
Fractional positions:
Pm: 0.178 0.822 0.000
Pm: 0.822 0.178 0.500
Pm: 0.636 0.847 0.000
Pm: 0.153 0.364 0.000
Sm: 0.345 0.655 0.324
Sm: 0.652 0.348 0.179
Sm: 0.652 0.348 0.821
Sm: 0.345 0.655 0.676
Dy: 0.004 0.996 0.253
Dy: 0.367 0.160 0.500
Dy: 0.004 0.996 0.747
Dy: 0.840 0.633 0.500

Its crystal system is orthorhombic. Its space-group type is No. 38. The energy relative to the elements comes out at 70 kJ/mol of formula units. For the energy relative to the lowest polymorph listed for this composition, the calculation gives 228 meV/atom.


No. 6
The following is a PBE calculation of a geometry-optimized Pm12SmDy3 structure, from Alexandria via LeMat-Bulk.

a = 5.133 Å, b = 5.133 Å, c = 20.479 Å
α = 90.00°, β = 90.00°, γ = 90.00°
Fractional positions:
Dy: 0.000 0.000 0.500
Dy: 0.000 0.000 0.749
Dy: 0.000 0.000 0.251
Sm: 0.000 0.000 0.000
Pm: 0.000 0.500 0.126
Pm: 0.500 0.000 0.375
Pm: 0.000 0.500 0.375
Pm: 0.500 0.500 0.000
Pm: 0.500 0.000 0.625
Pm: 0.000 0.500 0.874
Pm: 0.500 0.500 0.749
Pm: 0.500 0.000 0.126
Pm: 0.500 0.500 0.251
Pm: 0.000 0.500 0.625
Pm: 0.500 0.500 0.500
Pm: 0.500 0.000 0.874

Its crystal system is tetragonal. Its space-group type is No. 123. The energy relative to the elements comes out at 22 kJ/mol of formula units.


No. 7
The following is a PBE calculation of a geometry-optimized Pm2Sm3Dy6 structure, from Alexandria via LeMat-Bulk.

a = 6.161 Å, b = 6.170 Å, c = 11.707 Å
α = 84.90°, β = 79.75°, γ = 60.05°
Fractional positions:
Dy: 0.417 0.667 0.750
Dy: 0.916 0.667 0.250
Dy: 0.583 0.333 0.250
Dy: 0.250 0.000 0.250
Dy: 0.750 0.000 0.750
Dy: 0.084 0.333 0.750
Sm: 0.000 0.000 0.000
Sm: 0.664 0.671 0.000
Sm: 0.336 0.329 0.000
Pm: 0.167 0.667 0.500
Pm: 0.833 0.333 0.500

Its crystal system is monoclinic. Its space-group type is No. 12. The energy relative to the elements comes out at 199 kJ/mol of formula units. For the energy relative to the lowest polymorph listed for this composition, the calculation gives 0 meV/atom.


No. 8
The following is a PBE calculation of a geometry-optimized PmSm5Dy5 structure, from Alexandria via LeMat-Bulk.

a = 6.985 Å, b = 8.438 Å, c = 9.607 Å
α = 44.58°, β = 89.81°, γ = 104.23°
Fractional positions:
Sm: 0.255 0.084 0.642
Sm: 0.745 0.916 0.358
Sm: 0.866 0.514 0.844
Sm: 0.500 0.000 0.000
Sm: 0.134 0.486 0.156
Dy: 0.726 0.976 0.675
Dy: 0.358 0.517 0.792
Dy: 0.000 0.500 0.500
Dy: 0.642 0.483 0.208
Dy: 0.274 0.024 0.325
Pm: 0.000 0.000 0.000

Its crystal system is triclinic. Its space-group type is No. 2. The energy relative to the elements comes out at 153 kJ/mol of formula units. For the energy relative to the lowest polymorph listed for this composition, the calculation gives 0 meV/atom.


No. 9
The following is a PBE calculation of a geometry-optimized PmSm5Dy5 structure, from Alexandria via LeMat-Bulk.

a = 6.141 Å, b = 6.141 Å, c = 11.502 Å
α = 90.00°, β = 90.00°, γ = 120.00°
Fractional positions:
Dy: 0.333 0.667 0.326
Dy: 0.000 0.000 0.000
Dy: 0.333 0.667 0.674
Dy: 0.667 0.333 0.841
Dy: 0.667 0.333 0.159
Sm: 0.000 0.000 0.264
Sm: 0.830 0.661 0.500
Sm: 0.830 0.170 0.500
Sm: 0.000 0.000 0.736
Sm: 0.339 0.170 0.500
Pm: 0.333 0.667 0.000

Its crystal system is hexagonal. Its space-group type is No. 187. The energy relative to the elements comes out at 346 kJ/mol of formula units. For the energy relative to the lowest polymorph listed for this composition, the calculation gives 181 meV/atom.


No. 10
The following is a PBE calculation of a geometry-optimized PmSm4Dy2 structure, from Alexandria via LeMat-Bulk.

a = 6.161 Å, b = 6.643 Å, c = 11.771 Å
α = 90.00°, β = 105.58°, γ = 90.00°
Fractional positions:
Sm: 0.147 0.750 0.441
Sm: 0.646 0.000 0.287
Sm: 0.354 0.500 0.713
Sm: 0.853 0.250 0.559
Sm: 0.009 0.750 0.851
Sm: 0.354 0.000 0.713
Sm: 0.991 0.250 0.149
Sm: 0.646 0.500 0.287
Pm: 0.161 0.750 0.153
Pm: 0.839 0.250 0.847
Dy: 0.401 0.250 0.001
Dy: 0.291 0.250 0.436
Dy: 0.709 0.750 0.564
Dy: 0.599 0.750 0.999

Its crystal system is monoclinic. Its space-group type is No. 11. The energy relative to the elements comes out at 84 kJ/mol of formula units. For the energy relative to the lowest polymorph listed for this composition, the calculation gives 37 meV/atom.


No. 11
The following is a PBE calculation of a geometry-optimized Pm12Sm6Dy structure, from Alexandria via LeMat-Bulk.

a = 9.898 Å, b = 9.898 Å, c = 9.898 Å
α = 112.06°, β = 112.06°, γ = 112.06°
Fractional positions:
Pm: 0.881 0.119 0.500
Pm: 0.270 0.270 0.909
Pm: 0.909 0.270 0.270
Pm: 0.730 0.091 0.730
Pm: 0.270 0.909 0.270
Pm: 0.730 0.730 0.091
Pm: 0.119 0.881 0.500
Pm: 0.119 0.500 0.881
Pm: 0.881 0.500 0.119
Pm: 0.091 0.730 0.730
Pm: 0.500 0.881 0.119
Pm: 0.500 0.119 0.881
Sm: 0.520 0.270 0.270
Sm: 0.270 0.520 0.270
Sm: 0.730 0.730 0.480
Sm: 0.480 0.730 0.730
Sm: 0.270 0.270 0.520
Sm: 0.730 0.480 0.730
Dy: 0.000 0.000 0.000

Its crystal system is trigonal. Its space-group type is No. 166. The energy relative to the elements comes out at 578 kJ/mol of formula units. For the energy relative to the lowest polymorph listed for this composition, the calculation gives 181 meV/atom.


| no. | total magnetic moment (μB/cell) |
| --- | --- |
| 1 | 0.0 |
| 2 | 0.0 |
| 3 | 0.0 |
| 4 | 0.0 |
| 5 | 0.0 |
| 6 | 0.0 |
| 7 | 0.0 |
| 8 | 0.0 |
| 9 | 0.0 |
| 10 | 0.0 |
| 11 | 0.0 |